No. 1
First-principles (PBE-GGA) data for a geometry-optimized Pu3P2Cl3 structure, as listed in Alexandria.

Cell lengths 8.4142, 8.4142, 5.6624 Å; angles 90.00, 90.00, 120.00 degrees
Space group P6_3/mcm (No. 193)
Unique sites:
Pu1 0.0000 0.3897 0.2500 x6
P1 0.3333 0.6667 0.0000 x4
Cl1 0.0000 0.2474 0.7500 x6

=====

No. 2
First-principles (PBE-GGA) data for a geometry-optimized Pu4PCl5 structure, as listed in Alexandria.

Properties
energy above the lowest structure with this stoichiometry: 0 meV/atom

Cell lengths 17.4304, 4.0031, 8.1134 Å; angles 90.00, 101.66, 90.00 degrees
Space group C2/m (No. 12)
Unique sites:
Pu1 0.0024 0.0000 0.2429 x4
Pu2 0.1634 0.5000 0.0692 x4
P1 0.0000 0.5000 0.0000 x2
Cl1 0.0000 0.5000 0.5000 x2
Cl2 0.1662 0.0000 0.8204 x4
Cl3 0.1667 0.0000 0.3162 x4

=====

No. 3
First-principles (PBE-GGA) data for a geometry-optimized Pu2PCl structure, as listed in Alexandria.

Cell lengths 3.9127, 3.9127, 21.8414 Å; angles 90.00, 90.00, 120.00 degrees
Space group R3m (No. 160, hexagonal axes)
Unique sites:
Pu1 0.0000 0.0000 0.0000 x3
Pu2 0.0000 0.0000 0.1851 x3
P1 0.0000 0.0000 0.5913 x3
Cl1 0.0000 0.0000 0.7618 x3

=====

Number 1: V 173.59 Å³/f.u., raw formation energy -10.87 eV per formula unit, D(E_F) 3.548 states/eV per atom. Number 2: V 277.22 Å³/f.u., raw formation energy -15.73 eV per formula unit, D(E_F) 3.300 states/eV per atom. Number 3: V 96.53 Å³/f.u., raw formation energy -4.75 eV per formula unit, D(E_F) 4.223 states/eV per atom.